No. 1
## PrGdDyIn (PBE-GGA)

Data for an optimized crystal structure of PrGdDyIn.

Computed properties:
E_form = -0.1606 eV/atom
M_tot = 33.13 μB per cell
ρ = 8.01 Mg/m³
Crystal system = cubic

Unit cell a=7.814 b=7.814 c=7.814 alpha=90.00 beta=90.00 gamma=90.00
Space group F-43m (No. 216)
Unique sites:
Pr (0.000, 0.000, 0.000) (multiplicity 4)
Gd (0.250, 0.250, 0.750) (multiplicity 4)
Dy (0.000, 0.000, 0.500) (multiplicity 4)
In (0.250, 0.250, 0.250) (multiplicity 4)

=====

No. 2
## Tl3CuSe3 (PBE-GGA)

Data for an optimized crystal structure of Tl3CuSe3.

Computed properties:
M_tot = 0.00 μB per cell
Polymorph energy (0 for the lowest one) = 0.020 eV per atom
ρ = 7.60 Mg/m³
Raw formation energy = -0.229 eV/atom
Crystal system = monoclinic

Unit cell a=8.604 b=12.710 c=7.549 alpha=90.00 beta=104.82 gamma=90.00
Space group C2/m (No. 12)
Unique sites:
Tl (0.000, 0.179, 0.000) (multiplicity 4)
Tl (0.000, 0.265, 0.500) (multiplicity 4)
Tl (0.102, 0.500, 0.849) (multiplicity 4)
Cu (0.148, 0.000, 0.616) (multiplicity 4)
Se (0.102, 0.000, 0.290) (multiplicity 4)
Se (0.213, 0.351, 0.213) (multiplicity 8)

=====

No. 3
## Rb2SrHoF6 (PBE-GGA)

Data for an optimized crystal structure of Rb2SrHoF6.

Computed properties:
M_tot = 0.00 μB per cell
ρ = 4.23 Mg/m³
Raw formation energy = -3.292 eV/atom
Crystal system = orthorhombic

Unit cell a=6.678 b=6.690 c=9.448 alpha=90.00 beta=90.00 gamma=90.00
Space group Immm (No. 71)
Unique sites:
Rb (0.000, 0.000, 0.250) (multiplicity 4)
Sr (0.000, 0.500, 0.000) (multiplicity 2)
Ho (0.000, 0.500, 0.500) (multiplicity 2)
F (0.000, 0.500, 0.265) (multiplicity 4)
F (0.234, 0.266, 0.500) (multiplicity 8)

=====

No. 4
## CsBeZn2Pt (PBE-GGA)

Data for an optimized crystal structure of CsBeZn2Pt.

Computed properties:
E_form = -0.0705 eV/atom
M_tot = 0.00 μB per cell
ρ = 6.61 Mg/m³
Crystal system = tetragonal

Unit cell a=5.080 b=5.080 c=4.557 alpha=90.00 beta=90.00 gamma=90.00
Space group P4/mmm (No. 123)
Unique sites:
Cs (0.000, 0.000, 0.000) (multiplicity 1)
Be (0.500, 0.500, 0.000) (multiplicity 1)
Zn (0.000, 0.500, 0.500) (multiplicity 2)
Pt (0.500, 0.500, 0.500) (multiplicity 1)